Entry from the Alexandria database: MnCoNF2 after structural relaxation (PBE with a Hubbard U).

## Properties
* N(E_F): 1.31 states/eV/f.u.
* energy above the lowest structure with this stoichiometry: 0 meV/atom
* raw total energy: -5.5843 eV per atom

Cell and atoms, written as CIF:
```
data_MnCoNF2
_cell_length_a 3.971
_cell_length_b 3.971
_cell_length_c 3.777
_cell_angle_alpha 90.00
_cell_angle_beta 90.00
_cell_angle_gamma 90.00
_space_group_name_H-M_alt 'P 4/m m m'
_space_group_IT_number 123
_space_group_name_Hall '-P 4 2'
loop_
_atom_site_label
_atom_site_fract_x
_atom_site_fract_y
_atom_site_fract_z
Mn1 0.000 0.000 0.000
Co1 0.500 0.500 0.500
N1 0.500 0.500 0.000
F1 0.000 0.500 0.500
```